{
  "formula": "ThPb2S4",
  "functional": "GGA-PBE",
  "state": "optimized geometry",
  "cell": [[7.382, 0.000, 0.000], [0.000, 12.814, 0.000], [0.000, 0.000, 4.224]],
  "species": ["Th", "Th", "Pb", "Pb", "Pb", "Pb", "S", "S", "S", "S", "S", "S", "S", "S"],
  "frac_coords": [[0.000, 0.000, 0.000], [0.500, 0.500, 0.000], [0.113, 0.329, 0.500], [0.387, 0.829, 0.500], [0.613, 0.171, 0.500], [0.887, 0.671, 0.500], [0.131, 0.797, 0.000], [0.242, 0.037, 0.500], [0.258, 0.537, 0.500], [0.369, 0.297, 0.000], [0.631, 0.703, 0.000], [0.742, 0.463, 0.500], [0.758, 0.963, 0.500], [0.869, 0.203, 0.000]],
  "total_magnetization_mub_per_atom": 0.000,
  "e_form_raw_mev_per_atom": -1130,
  "de_polymorph_mev_per_atom": 0.0
}

---

{
  "formula": "ThPb3S6",
  "functional": "GGA-PBE",
  "state": "optimized geometry",
  "cell": [[11.729, 0.000, 0.000], [0.000, 4.181, 0.000], [-2.839, 0.000, 11.919]],
  "species": ["Th", "Th", "Pb", "Pb", "Pb", "Pb", "Pb", "Pb", "S", "S", "S", "S", "S", "S", "S", "S", "S", "S", "S", "S"],
  "frac_coords": [[0.020, 0.250, 0.163], [0.980, 0.750, 0.837], [0.173, 0.250, 0.594], [0.346, 0.750, 0.980], [0.448, 0.250, 0.341], [0.552, 0.750, 0.659], [0.654, 0.250, 0.020], [0.827, 0.750, 0.406], [0.092, 0.750, 0.331], [0.107, 0.250, 0.962], [0.181, 0.750, 0.739], [0.198, 0.750, 0.215], [0.401, 0.250, 0.585], [0.462, 0.250, 0.114], [0.538, 0.750, 0.886], [0.599, 0.750, 0.415], [0.802, 0.250, 0.785], [0.819, 0.250, 0.261], [0.893, 0.750, 0.038], [0.908, 0.250, 0.669]],
  "total_magnetization_mub_per_atom": 0.000,
  "e_form_raw_mev_per_atom": -879
}

---

{
  "formula": "ThTl3Pb2S6",
  "functional": "GGA-PBE",
  "state": "optimized geometry",
  "cell": [[3.689, -6.379, 0.000], [3.689, 6.379, 0.000], [-2.417, 0.000, 7.195]],
  "species": ["Th", "Tl", "Tl", "Tl", "Pb", "Pb", "S", "S", "S", "S", "S", "S"],
  "frac_coords": [[0.000, 0.000, 0.000], [0.167, 0.833, 0.500], [0.500, 0.500, 0.500], [0.833, 0.167, 0.500], [0.334, 0.666, 0.000], [0.666, 0.334, 0.000], [0.071, 0.387, 0.217], [0.241, 0.241, 0.778], [0.387, 0.071, 0.217], [0.613, 0.929, 0.783], [0.759, 0.759, 0.222], [0.929, 0.613, 0.783]],
  "total_magnetization_mub_per_atom": 0.000,
  "e_form_raw_mev_per_atom": -787
}

---

{
  "formula": "Ti3PbS6",
  "functional": "GGA-PBE",
  "state": "optimized geometry",
  "cell": [[11.687, 0.000, 0.000], [0.000, 3.483, 0.000], [-3.096, 0.000, 12.058]],
  "species": ["Ti", "Ti", "Ti", "Ti", "Ti", "Ti", "Pb", "Pb", "S", "S", "S", "S", "S", "S", "S", "S", "S", "S", "S", "S"],
  "frac_coords": [[0.032, 0.250, 0.409], [0.322, 0.750, 0.256], [0.440, 0.250, 0.083], [0.560, 0.750, 0.917], [0.678, 0.250, 0.744], [0.968, 0.750, 0.591], [0.340, 0.750, 0.559], [0.660, 0.250, 0.441], [0.119, 0.250, 0.603], [0.143, 0.750, 0.344], [0.243, 0.250, 0.130], [0.365, 0.750, 0.948], [0.403, 0.250, 0.402], [0.485, 0.250, 0.773], [0.515, 0.750, 0.227], [0.597, 0.750, 0.598], [0.635, 0.250, 0.052], [0.757, 0.750, 0.870], [0.857, 0.250, 0.656], [0.881, 0.750, 0.397]],
  "total_magnetization_mub_per_atom": 0.084,
  "e_form_raw_mev_per_atom": -1136
}

---

{
  "formula": "TiPbS3",
  "functional": "GGA-PBE",
  "state": "optimized geometry",
  "cell": [[9.381, 0.000, 0.000], [0.000, 6.315, 1.810], [0.000, -6.315, 1.810]],
  "species": ["Ti", "Ti", "Pb", "Pb", "S", "S", "S", "S", "S", "S"],
  "frac_coords": [[0.000, 0.000, 0.000], [0.500, 0.000, 0.000], [0.250, 0.769, 0.324], [0.750, 0.324, 0.769], [0.048, 0.415, 0.671], [0.250, 0.097, 0.989], [0.452, 0.415, 0.671], [0.548, 0.671, 0.415], [0.750, 0.989, 0.097], [0.952, 0.671, 0.415]],
  "total_magnetization_mub_per_atom": 0.000,
  "e_form_raw_mev_per_atom": -921
}

---

{
  "formula": "TiPb4S5",
  "functional": "GGA-PBE",
  "state": "optimized geometry",
  "cell": [[-4.615, 4.615, 2.968], [4.615, -4.615, 2.968], [4.615, 4.615, -2.968]],
  "species": ["Ti", "Pb", "Pb", "Pb", "Pb", "S", "S", "S", "S", "S"],
  "frac_coords": [[0.000, 0.000, 0.000], [0.228, 0.430, 0.599], [0.430, 0.831, 0.202], [0.629, 0.228, 0.798], [0.831, 0.629, 0.401], [0.137, 0.786, 0.841], [0.296, 0.137, 0.351], [0.582, 0.582, 0.000], [0.786, 0.945, 0.649], [0.945, 0.296, 0.159]],
  "total_magnetization_mub_per_atom": 0.156,
  "e_form_raw_mev_per_atom": -568
}

---

{
  "formula": "Ti2PbS2",
  "functional": "GGA-PBE",
  "state": "optimized geometry",
  "cell": [[4.375, 0.000, 0.000], [0.000, 4.375, 0.000], [0.000, 0.000, 10.305]],
  "species": ["Ti", "Ti", "Ti", "Ti", "Pb", "Pb", "S", "S", "S", "S"],
  "frac_coords": [[0.000, 0.000, 0.139], [0.000, 0.000, 0.861], [0.500, 0.500, 0.361], [0.500, 0.500, 0.639], [0.000, 0.000, 0.500], [0.500, 0.500, 0.000], [0.000, 0.500, 0.250], [0.000, 0.500, 0.750], [0.500, 0.000, 0.250], [0.500, 0.000, 0.750]],
  "total_magnetization_mub_per_atom": 0.000,
  "e_form_raw_mev_per_atom": -573
}

---

{
  "formula": "Ti3PbS",
  "functional": "GGA-PBE",
  "state": "optimized geometry",
  "cell": [[3.161, -6.437, 0.000], [3.161, 6.437, 0.000], [0.000, 0.000, 4.553]],
  "species": ["Ti", "Ti", "Ti", "Ti", "Ti", "Ti", "Pb", "Pb", "S", "S"],
  "frac_coords": [[0.000, 0.500, 0.500], [0.123, 0.877, 0.000], [0.292, 0.292, 0.500], [0.500, 0.000, 0.500], [0.708, 0.708, 0.500], [0.877, 0.123, 0.000], [0.363, 0.637, 0.000], [0.637, 0.363, 0.000], [0.115, 0.885, 0.500], [0.885, 0.115, 0.500]],
  "total_magnetization_mub_per_atom": 0.194,
  "e_form_raw_mev_per_atom": -421,
  "de_polymorph_mev_per_atom": 45.9
}

---

{
  "formula": "Ti4PbS",
  "functional": "GGA-PBE",
  "state": "optimized geometry",
  "cell": [[6.704, -2.634, 0.000], [6.704, 2.634, 0.000], [-1.816, 0.000, 6.165]],
  "species": ["Ti", "Ti", "Ti", "Ti", "Ti", "Ti", "Ti", "Ti", "Pb", "Pb", "S", "S"],
  "frac_coords": [[0.006, 0.825, 0.557], [0.175, 0.994, 0.943], [0.202, 0.423, 0.857], [0.423, 0.202, 0.357], [0.577, 0.798, 0.643], [0.798, 0.577, 0.143], [0.825, 0.006, 0.057], [0.994, 0.175, 0.443], [0.394, 0.606, 0.250], [0.606, 0.394, 0.750], [0.000, 0.500, 0.500], [0.500, 0.000, 0.000]],
  "total_magnetization_mub_per_atom": 0.000,
  "e_form_raw_mev_per_atom": -409
}

---

{
  "formula": "TiPbS3",
  "functional": "GGA-PBE",
  "state": "optimized geometry",
  "cell": [[5.070, 0.000, 0.000], [0.000, 5.070, 0.000], [0.000, 0.000, 5.070]],
  "species": ["Ti", "Pb", "S", "S", "S"],
  "frac_coords": [[0.000, 0.000, 0.000], [0.500, 0.500, 0.500], [0.000, 0.500, 0.500], [0.500, 0.000, 0.500], [0.500, 0.500, 0.000]],
  "total_magnetization_mub_per_atom": 0.026,
  "e_form_raw_mev_per_atom": 699
}

---

{
  "formula": "Ti3PbS",
  "functional": "GGA-PBE",
  "state": "optimized geometry",
  "cell": [[4.735, 0.000, 0.000], [0.000, 4.881, 0.000], [-0.011, 0.000, 8.024]],
  "species": ["Ti", "Ti", "Ti", "Ti", "Ti", "Ti", "Pb", "Pb", "S", "S"],
  "frac_coords": [[0.000, 0.250, 0.075], [0.000, 0.750, 0.925], [0.499, 0.250, 0.440], [0.500, 0.250, 0.858], [0.500, 0.750, 0.142], [0.501, 0.750, 0.560], [0.001, 0.750, 0.340], [0.999, 0.250, 0.660], [0.499, 0.750, 0.847], [0.501, 0.250, 0.153]],
  "total_magnetization_mub_per_atom": 0.000,
  "e_form_raw_mev_per_atom": -467,
  "de_polymorph_mev_per_atom": 0.0
}

---

{
  "formula": "TiPbS3",
  "functional": "GGA-PBE",
  "state": "optimized geometry",
  "cell": [[4.762, 0.000, 0.000], [0.000, 4.762, 0.000], [0.000, 0.000, 4.762]],
  "species": ["Ti", "Pb", "S", "S", "S"],
  "frac_coords": [[0.000, 0.000, 0.000], [0.500, 0.500, 0.500], [0.000, 0.000, 0.500], [0.000, 0.500, 0.000], [0.500, 0.000, 0.000]],
  "total_magnetization_mub_per_atom": 0.000,
  "e_form_raw_mev_per_atom": -757
}

---

{
  "formula": "TiPb3S6",
  "functional": "GGA-PBE",
  "state": "optimized geometry",
  "cell": [[6.712, 0.000, 0.000], [0.000, 7.258, 0.000], [-6.430, 0.000, 9.840]],
  "species": ["Ti", "Ti", "Pb", "Pb", "Pb", "Pb", "Pb", "Pb", "S", "S", "S", "S", "S", "S", "S", "S", "S", "S", "S", "S"],
  "frac_coords": [[0.000, 0.000, 0.000], [0.000, 0.500, 0.500], [0.289, 0.075, 0.766], [0.289, 0.425, 0.266], [0.500, 0.000, 0.500], [0.500, 0.500, 0.000], [0.711, 0.575, 0.734], [0.711, 0.925, 0.234], [0.108, 0.048, 0.232], [0.108, 0.452, 0.732], [0.232, 0.715, 0.070], [0.232, 0.785, 0.570], [0.349, 0.167, 0.045], [0.349, 0.333, 0.545], [0.651, 0.667, 0.455], [0.651, 0.833, 0.955], [0.768, 0.215, 0.430], [0.768, 0.285, 0.930], [0.892, 0.548, 0.268], [0.892, 0.952, 0.768]],
  "total_magnetization_mub_per_atom": 0.000,
  "e_form_raw_mev_per_atom": -525
}

---

{
  "formula": "Ti3PbS",
  "functional": "GGA-PBE",
  "state": "optimized geometry",
  "cell": [[5.217, 0.000, 0.000], [0.000, 5.217, 0.000], [0.000, 0.000, 5.217]],
  "species": ["Ti", "Ti", "Ti", "Pb", "S"],
  "frac_coords": [[0.000, 0.000, 0.500], [0.000, 0.500, 0.000], [0.500, 0.000, 0.000], [0.000, 0.000, 0.000], [0.500, 0.500, 0.500]],
  "total_magnetization_mub_per_atom": 1.199,
  "e_form_raw_mev_per_atom": 1198,
  "de_polymorph_mev_per_atom": 1664.8
}

---

{
  "formula": "TiPbS4",
  "functional": "GGA-PBE",
  "state": "optimized geometry",
  "cell": [[3.706, -6.546, 0.000], [3.706, 6.546, 0.000], [-0.744, 0.000, 6.158]],
  "species": ["Ti", "Ti", "Pb", "Pb", "S", "S", "S", "S", "S", "S", "S", "S"],
  "frac_coords": [[0.047, 0.953, 0.750], [0.953, 0.047, 0.250], [0.429, 0.571, 0.750], [0.571, 0.429, 0.250], [0.024, 0.785, 0.106], [0.184, 0.402, 0.327], [0.215, 0.976, 0.394], [0.402, 0.184, 0.827], [0.598, 0.816, 0.173], [0.785, 0.024, 0.606], [0.816, 0.598, 0.673], [0.976, 0.215, 0.894]],
  "total_magnetization_mub_per_atom": 0.000,
  "e_form_raw_mev_per_atom": -659
}

---

{
  "formula": "Ti3Pb2S8",
  "functional": "GGA-PBE",
  "state": "optimized geometry",
  "cell": [[7.010, -3.580, 0.000], [7.010, 3.580, 0.000], [-1.881, 0.000, 5.995]],
  "species": ["Ti", "Ti", "Ti", "Pb", "Pb", "S", "S", "S", "S", "S", "S", "S", "S"],
  "frac_coords": [[0.000, 0.000, 0.000], [0.261, 0.739, 0.500], [0.739, 0.261, 0.500], [0.263, 0.263, 0.831], [0.737, 0.737, 0.169], [0.099, 0.099, 0.392], [0.135, 0.662, 0.108], [0.338, 0.865, 0.892], [0.390, 0.390, 0.542], [0.610, 0.610, 0.458], [0.662, 0.135, 0.108], [0.865, 0.338, 0.892], [0.901, 0.901, 0.608]],
  "total_magnetization_mub_per_atom": 0.000,
  "e_form_raw_mev_per_atom": -1003
}

---

{
  "formula": "Ti3PbS",
  "functional": "GGA-PBE",
  "state": "optimized geometry",
  "cell": [[4.562, 0.000, 0.000], [0.000, 4.562, 0.000], [0.000, 0.000, 4.562]],
  "species": ["Ti", "Ti", "Ti", "Pb", "S"],
  "frac_coords": [[0.000, 0.000, 0.500], [0.000, 0.500, 0.000], [0.500, 0.000, 0.000], [0.500, 0.500, 0.500], [0.000, 0.000, 0.000]],
  "total_magnetization_mub_per_atom": 0.231,
  "e_form_raw_mev_per_atom": -385,
  "de_polymorph_mev_per_atom": 81.5
}

---

{
  "formula": "TiTl3Pb2S6",
  "functional": "GGA-PBE",
  "state": "optimized geometry",
  "cell": [[3.548, -6.111, 0.000], [3.548, 6.111, 0.000], [-2.370, 0.000, 7.070]],
  "species": ["Ti", "Tl", "Tl", "Tl", "Pb", "Pb", "S", "S", "S", "S", "S", "S"],
  "frac_coords": [[0.000, 0.000, 0.000], [0.171, 0.829, 0.500], [0.500, 0.500, 0.500], [0.829, 0.171, 0.500], [0.334, 0.666, 0.000], [0.666, 0.334, 0.000], [0.067, 0.353, 0.199], [0.217, 0.217, 0.789], [0.353, 0.067, 0.199], [0.647, 0.933, 0.801], [0.783, 0.783, 0.211], [0.933, 0.647, 0.801]],
  "total_magnetization_mub_per_atom": 0.000,
  "e_form_raw_mev_per_atom": -610
}

---

{
  "formula": "UTiPbS6",
  "functional": "GGA-PBE",
  "state": "optimized geometry",
  "cell": [[6.480, 0.000, 0.000], [-3.240, 5.611, 0.000], [0.000, 0.000, 12.521]],
  "species": ["U", "U", "Ti", "Ti", "Pb", "Pb", "S", "S", "S", "S", "S", "S", "S", "S", "S", "S", "S", "S"],
  "frac_coords": [[0.333, 0.667, 0.250], [0.667, 0.333, 0.750], [0.333, 0.667, 0.750], [0.667, 0.333, 0.250], [0.000, 0.000, 0.000], [0.000, 0.000, 0.500], [0.013, 0.380, 0.636], [0.013, 0.633, 0.864], [0.367, 0.380, 0.864], [0.367, 0.987, 0.636], [0.380, 0.013, 0.136], [0.380, 0.367, 0.364], [0.620, 0.633, 0.636], [0.620, 0.987, 0.864], [0.633, 0.013, 0.364], [0.633, 0.620, 0.136], [0.987, 0.367, 0.136], [0.987, 0.620, 0.364]],
  "total_magnetization_mub_per_atom": 0.014,
  "e_form_raw_mev_per_atom": -1004
}

---

{
  "formula": "TlPb3S",
  "functional": "GGA-PBE",
  "state": "optimized geometry",
  "cell": [[5.840, 0.000, 0.000], [0.000, 5.840, 0.000], [0.000, 0.000, 5.840]],
  "species": ["Tl", "Pb", "Pb", "Pb", "S"],
  "frac_coords": [[0.000, 0.000, 0.000], [0.000, 0.000, 0.500], [0.000, 0.500, 0.000], [0.500, 0.000, 0.000], [0.500, 0.500, 0.500]],
  "total_magnetization_mub_per_atom": 0.000,
  "e_form_raw_mev_per_atom": 706,
  "de_polymorph_mev_per_atom": 602.3
}